TlTcHg | PBE-GGA | optimized geometry

Structure (extended XYZ):
```
3
Lattice="-0.620 0.991 -4.517 -4.249 1.093 -1.587 -0.943 4.374 -1.321" Properties=species:S:1:pos:R:3 pbc="T T T"
Tl 0.000 0.000 0.000
Hg -2.906 3.229 -3.712
Tc -4.359 4.844 -5.568
```

Values from the calculation:
energy of formation from the pure elements	872	meV per atom
volume	23.940	Å³ per atom
magnetization	1.9	μB/f.u.
E above lowest polymorph	159	meV per atom